i) Density functional theory data (GGA-PBE) for a geometry-optimized LiZnSe structure.

Cell lengths 4.1358, 2.8662, 5.8001 Å; angles 90.00, 101.68, 90.00 degrees
With the nearest neighbours (Å) after each atom.
Positions (direct):
1 Li 0.7749 0.5000 0.6545  4 Se 2.62, 2 Zn 2.86, 2 Li 2.87
2 Se 0.3117 0.0000 0.7828  1 Zn 2.56, 4 Li 2.62
3 Zn 0.5579 0.0000 0.2240  1 Se 2.56, 2 Li 2.86

***

ii) Density functional theory data (GGA-PBE) for a geometry-optimized LiZnSe structure.

Cell lengths 4.8054, 4.8054, 4.8054 Å; angles 135.15, 135.13, 65.32 degrees
With the nearest neighbours (Å) after each atom.
Positions (direct):
1 Se 0.3343 0.3343 0.0000  5 Zn 2.76-2.90, 5 Li 2.78-2.89
2 Li 0.9908 0.9908 0.0000  1 Zn 2.56, 1 Se 2.78
3 Zn 0.6748 0.6748 0.0000  1 Li 2.56, 1 Se 2.76

***

i) comes first in stability; the runner-up is 0.7 kJ/mol of atoms higher.

***

i) Density functional theory data (GGA-PBE) for a geometry-optimized LiZnSe structure.

Cell lengths 6.3802, 6.3802, 6.3802 Å; angles 152.34, 152.34, 39.51 degrees
With the nearest neighbours (Å) after each atom.
Positions (direct):
1 Li 0.9880 0.9880 0.0000  4 Se 2.73, 4 Zn 3.02, 4 Li 3.05
2 Zn 0.6639 0.6639 0.0000  4 Li 3.02, 4 Zn 3.05, 4 Se 3.09
3 Se 0.3481 0.3481 0.0000  4 Li 2.73, 4 Se 3.05

***

ii) Density functional theory data (GGA-PBE) for a geometry-optimized LiZnSe structure.

Cell lengths 3.9639, 3.9639, 12.9708 Å; angles 90.00, 90.00, 120.00 degrees
With the nearest neighbours (Å) after each atom.
Positions (direct):
1 Li 0.0000 0.0000 0.5413  4 Zn 2.71-2.80, 4 Se 2.74-2.82
2 Li 0.3333 0.6667 0.2080  4 Zn 2.71-2.80, 4 Se 2.74-2.82
3 Li 0.6667 0.3333 0.8747  4 Zn 2.71-2.80, 4 Se 2.74-2.82
4 Zn 0.3333 0.6667 0.4172  3 Se 2.59, 4 Li 2.71-2.80
5 Zn 0.0000 0.0000 0.7505  3 Se 2.59, 4 Li 2.71-2.80
6 Zn 0.6667 0.3333 0.0839  3 Se 2.59, 4 Li 2.71-2.80
7 Se 0.3333 0.6667 0.9907  3 Zn 2.59, 4 Li 2.74-2.82
8 Se 0.6667 0.3333 0.6574  3 Zn 2.59, 4 Li 2.74-2.82
9 Se 0.0000 0.0000 0.3241  3 Zn 2.59, 4 Li 2.74-2.82

***

iii) Density functional theory data (GGA-PBE) for a geometry-optimized LiZnSe structure.

Cell lengths 3.8616, 2.8667, 5.5279 Å; angles 90.00, 90.00, 90.00 degrees
With the nearest neighbours (Å) after each atom.
Positions (direct):
1 Se 0.5000 0.5000 0.0654  4 Li 2.66, 2 Zn 2.73, 2 Se 2.87
2 Li 0.0000 0.0000 0.8577  4 Se 2.66, 2 Zn 2.84, 2 Li 2.87
3 Zn 0.0000 0.5000 0.4149  2 Se 2.73, 2 Li 2.84, 2 Zn 2.87

***

iv) Density functional theory data (GGA-PBE) for a geometry-optimized LiZnSe structure.

Cell lengths 6.0464, 6.0464, 7.6591 Å; angles 69.82, 69.82, 95.33 degrees
With the nearest neighbours (Å) after each atom.
Positions (direct):
1 Li 0.7548 0.1565 0.0507  3 Se 2.60-2.76, 1 Zn 2.77
2 Li 0.1565 0.7548 0.5507  3 Se 2.60-2.76, 1 Zn 2.77
3 Li 0.0773 0.5905 0.0444  3 Se 2.69-2.76, 3 Zn 2.86-2.98
4 Li 0.5905 0.0773 0.5444  3 Se 2.69-2.76, 3 Zn 2.86-2.98
5 Zn 0.1085 0.3383 0.4417  1 Zn 2.46, 3 Se 2.53-2.65
6 Zn 0.3383 0.1085 0.9417  1 Zn 2.46, 3 Se 2.53-2.65
7 Zn 0.5891 0.8104 0.9344  1 Zn 2.46, 3 Se 2.53-2.64
8 Zn 0.8104 0.5891 0.4344  1 Zn 2.46, 3 Se 2.53-2.64
9 Se 0.4572 0.5770 0.7376  3 Zn 2.53-2.64, 3 Li 2.69-2.76
10 Se 0.0029 0.0507 0.2734  3 Zn 2.53-2.65, 3 Li 2.60-2.76
11 Se 0.0507 0.0029 0.7734  3 Zn 2.53-2.65, 3 Li 2.60-2.76
12 Se 0.5770 0.4572 0.2376  3 Zn 2.53-2.64, 3 Li 2.69-2.76

***

iv) comes first in stability; the runner-up is 18.0 kJ/mol of atoms higher.

***

i) Density functional theory data (GGA-PBE) for a geometry-optimized LiZnSe structure.

Cell lengths 6.1245, 5.9167, 3.2525 Å; angles 77.89, 70.83, 31.28 degrees
With the nearest neighbours (Å) after each atom.
Positions (direct):
1 Se 0.3368 0.3368 0.6632  2 Li 2.61, 2 Zn 2.69
2 Zn 0.6761 0.6761 0.3239  2 Se 2.69, 2 Li 2.91
3 Li 0.9871 0.9871 0.0129  2 Se 2.61, 2 Zn 2.91

***

ii) Density functional theory data (GGA-PBE) for a geometry-optimized LiZnSe structure.

Cell lengths 3.9115, 3.9106, 5.1545 Å; angles 66.41, 66.44, 59.58 degrees
With the nearest neighbours (Å) after each atom.
Positions (direct):
1 Se 0.5215 0.9424 0.8244  3 Zn 2.61-2.62, 3 Li 2.65-2.69
2 Li 0.0849 0.5045 0.1381  3 Se 2.65-2.69, 4 Zn 2.76-2.96
3 Zn 0.2900 0.7118 0.5349  3 Se 2.61-2.62, 3 Li 2.76-2.86

***

ii) comes first in stability; the runner-up is 19.2 kJ/mol of atoms higher.

***

i) Density functional theory data (GGA-PBE) for a geometry-optimized LiZn2Se2 structure.

Cell lengths 7.3386, 7.3386, 3.7280 Å; angles 90.00, 90.00, 90.00 degrees
With the nearest neighbours (Å) after each atom.
Positions (direct):
1 Se 0.7076 0.2076 0.0000  2 Zn 2.55, 2 Li 2.63
2 Se 0.2924 0.7924 0.0000  2 Zn 2.55, 2 Li 2.63
3 Se 0.7924 0.7076 0.0000  2 Zn 2.55, 2 Li 2.63
4 Se 0.2076 0.2924 0.0000  2 Zn 2.55, 2 Li 2.63
5 Li 0.5000 0.5000 0.0000  4 Se 2.63
6 Li 0.0000 0.0000 0.0000  4 Se 2.63
7 Zn 0.3757 0.1243 0.5000  2 Se 2.55, 1 Zn 2.58
8 Zn 0.6243 0.8757 0.5000  2 Se 2.55, 1 Zn 2.58
9 Zn 0.8757 0.3757 0.5000  2 Se 2.55, 1 Zn 2.58
10 Zn 0.1243 0.6243 0.5000  2 Se 2.55, 1 Zn 2.58

***

ii) Density functional theory data (GGA-PBE) for a geometry-optimized LiZn2Se2 structure.

Cell lengths 4.2139, 4.2139, 7.2493 Å; angles 73.10, 73.10, 90.00 degrees
With the nearest neighbours (Å) after each atom.
Positions (direct):
1 Se 0.6351 0.6351 0.7298  4 Zn 2.60
2 Se 0.3649 0.3649 0.2702  4 Zn 2.60
3 Li 0.0000 0.0000 0.0000  8 Se 3.47
4 Zn 0.2500 0.7500 0.5000  4 Se 2.60
5 Zn 0.7500 0.2500 0.5000  4 Se 2.60

***

i) comes first in stability; the runner-up is 9.7 kJ/mol of atoms higher.

***

i) Density functional theory data (GGA-PBE) for a geometry-optimized Li2ZrSe3 structure.

Cell lengths 6.6921, 6.7491, 6.7491 Å; angles 119.21, 100.22, 100.22 degrees
With the nearest neighbours (Å) after each atom.
Positions (direct):
1 Li 0.2500 0.9124 0.0876  6 Se 2.70-2.86
2 Li 0.2500 0.2570 0.7430  6 Se 2.71-2.84
3 Li 0.7500 0.0876 0.9124  6 Se 2.70-2.86
4 Li 0.7500 0.7430 0.2570  6 Se 2.71-2.84
5 Se 0.9933 0.1793 0.3362  2 Zr 2.70, 4 Li 2.71-2.86
6 Se 0.5067 0.6638 0.8207  2 Zr 2.70, 4 Li 2.71-2.86
7 Se 0.0000 0.5000 0.0000  4 Li 2.70-2.78, 2 Zr 2.73
8 Se 0.4933 0.3362 0.1793  2 Zr 2.70, 4 Li 2.71-2.86
9 Se 0.0067 0.8207 0.6638  2 Zr 2.70, 4 Li 2.71-2.86
10 Se 0.5000 0.0000 0.5000  4 Li 2.70-2.78, 2 Zr 2.73
11 Zr 0.2500 0.5838 0.4162  6 Se 2.70-2.73
12 Zr 0.7500 0.4162 0.5838  6 Se 2.70-2.73

***

ii) Density functional theory data (GGA-PBE) for a geometry-optimized Li2ZrSe3 structure.

Cell lengths 6.7243, 6.7828, 6.7237 Å; angles 80.45, 60.00, 70.63 degrees
With the nearest neighbours (Å) after each atom.
Positions (direct):
1 Zr 0.3334 0.0000 0.3332  6 Se 2.71
2 Zr 0.6666 0.0000 0.6668  6 Se 2.71
3 Se 0.5768 0.2436 0.3420  2 Zr 2.71, 4 Li 2.71-2.80
4 Se 0.9188 0.2436 0.6580  2 Zr 2.71, 4 Li 2.71-2.80
5 Se 0.7390 0.7531 0.0000  4 Li 2.71-2.81, 2 Zr 2.71
6 Se 0.4232 0.7564 0.6580  2 Zr 2.71, 4 Li 2.71-2.80
7 Se 0.2610 0.2469 0.0000  4 Li 2.71-2.81, 2 Zr 2.71
8 Se 0.0812 0.7564 0.3420  2 Zr 2.71, 4 Li 2.71-2.80
9 Li 0.0000 0.0000 0.0000  6 Se 2.78-2.80
10 Li 0.8307 0.5000 0.3387  6 Se 2.71-2.81
11 Li 0.5000 0.5000 0.0000  6 Se 2.71-2.80
12 Li 0.1693 0.5000 0.6613  6 Se 2.71-2.81

***

ii) comes first in stability; the runner-up is 2.0 kJ/mol of atoms higher.

***

i) Density functional theory data (GGA-PBE) for a geometry-optimized LiZrSe3 structure.

Cell lengths 5.2522, 5.2522, 5.2522 Å; angles 90.00, 90.00, 90.00 degrees
With the nearest neighbours (Å) after each atom.
Positions (direct):
1 Li 0.5000 0.5000 0.5000  12 Se 3.71
2 Se 0.5000 0.0000 0.0000  2 Zr 2.63
3 Se 0.0000 0.5000 0.0000  2 Zr 2.63
4 Se 0.0000 0.0000 0.5000  2 Zr 2.63
5 Zr 0.0000 0.0000 0.0000  6 Se 2.63

***

ii) Density functional theory data (GGA-PBE) for a geometry-optimized LiZrSe3 structure.

Cell lengths 6.6266, 8.6088, 8.6088 Å; angles 83.12, 82.28, 82.28 degrees
With the nearest neighbours (Å) after each atom.
Positions (direct):
1 Se 0.3845 0.5496 0.7142  2 Zr 2.66-2.68, 1 Li 2.73
2 Se 0.6255 0.1275 0.6150  2 Zr 2.66-2.71, 2 Li 2.72-2.73
3 Se 0.1255 0.6150 0.1275  2 Zr 2.66-2.71, 2 Li 2.72-2.73
4 Se 0.6155 0.4504 0.2858  2 Zr 2.66-2.68, 1 Li 2.73
5 Se 0.3656 0.2008 0.0437  2 Zr 2.71-2.72, 3 Li 2.71-2.79
6 Se 0.8845 0.7142 0.5496  2 Zr 2.66-2.68, 1 Li 2.73
7 Se 0.6344 0.7992 0.9563  2 Zr 2.71-2.72, 3 Li 2.71-2.79
8 Se 0.1344 0.9563 0.7992  2 Zr 2.71-2.72, 3 Li 2.71-2.79
9 Se 0.3745 0.8725 0.3850  2 Zr 2.66-2.71, 2 Li 2.72-2.73
10 Se 0.8656 0.0437 0.2008  2 Zr 2.71-2.72, 3 Li 2.71-2.79
11 Se 0.8745 0.3850 0.8725  2 Zr 2.66-2.71, 2 Li 2.72-2.73
12 Se 0.1155 0.2858 0.4504  2 Zr 2.66-2.68, 1 Li 2.73
13 Li 0.2500 0.9070 0.0930  6 Se 2.71-2.75
14 Li 0.7500 0.7399 0.2601  6 Se 2.73-2.79
15 Li 0.7500 0.0930 0.9070  6 Se 2.71-2.75
16 Li 0.2500 0.2601 0.7399  6 Se 2.73-2.79
17 Zr 0.5083 0.8344 0.6664  6 Se 2.66-2.72
18 Zr 0.4917 0.1656 0.3336  6 Se 2.66-2.72
19 Zr 0.0083 0.6664 0.8344  6 Se 2.66-2.72
20 Zr 0.9917 0.3336 0.1656  6 Se 2.66-2.72

***

ii) comes first in stability; the runner-up is 22.5 kJ/mol of atoms higher.

***

i) Density functional theory data (GGA-PBE) for a geometry-optimized Li7Si structure.

Cell lengths 5.7227, 5.7227, 5.7227 Å; angles 60.00, 60.00, 60.00 degrees
With the nearest neighbours (Å) after each atom.
Positions (direct):
1 Si 0.0000 0.0000 0.0000  12 Li 2.86
2 Li 0.0000 0.5000 0.5000  10 Li 2.86, 2 Si 2.86
3 Li 0.5000 0.0000 0.5000  10 Li 2.86, 2 Si 2.86
4 Li 0.5000 0.5000 0.5000  12 Li 2.86
5 Li 0.5000 0.0000 0.0000  10 Li 2.86, 2 Si 2.86
6 Li 0.0000 0.5000 0.0000  10 Li 2.86, 2 Si 2.86
7 Li 0.0000 0.0000 0.5000  10 Li 2.86, 2 Si 2.86
8 Li 0.5000 0.5000 0.0000  10 Li 2.86, 2 Si 2.86

***

ii) Density functional theory data (GGA-PBE) for a geometry-optimized Li7Si structure.

Cell lengths 4.5215, 4.5215, 7.9103 Å; angles 73.39, 73.39, 60.00 degrees
With the nearest neighbours (Å) after each atom.
Positions (direct):
1 Li 0.3691 0.3691 0.8928  1 Li 2.43
2 Li 0.6309 0.6309 0.1072  1 Li 2.43
3 Li 0.1179 0.1179 0.6462  1 Si 2.64, 6 Li 2.80-2.83
4 Li 0.2606 0.2606 0.2181  1 Li 2.43
5 Li 0.8821 0.8821 0.3538  1 Si 2.64, 6 Li 2.80-2.83
6 Li 0.7394 0.7394 0.7819  1 Li 2.43
7 Li 0.5000 0.5000 0.5000  8 Li 2.83-2.93
8 Si 0.0000 0.0000 0.0000  8 Li 2.64-2.73

***

ii) comes first in stability; the runner-up is 8.3 kJ/mol of atoms higher.

***

i) Density functional theory data (GGA-PBE) for a geometry-optimized Li4Si structure.

Cell lengths 5.1446, 5.1446, 5.1446 Å; angles 109.47, 109.47, 109.47 degrees
With the nearest neighbours (Å) after each atom.
Positions (direct):
1 Li 0.0000 0.5000 0.0000  2 Si 2.57
2 Li 0.5000 0.0000 0.0000  2 Si 2.57
3 Li 0.0000 0.0000 0.5000  2 Si 2.57
4 Li 0.5000 0.5000 0.5000  2 Si 2.57
5 Si 0.0000 0.0000 0.0000  8 Li 2.57

***

ii) Density functional theory data (GGA-PBE) for a geometry-optimized Li4Si structure.

Cell lengths 4.3484, 5.3740, 7.5066 Å; angles 110.97, 106.84, 90.00 degrees
With the nearest neighbours (Å) after each atom.
Positions (direct):
1 Li 0.0874 0.3374 0.1749  3 Si 2.69-2.71, 4 Li 2.81
2 Li 0.7006 0.1764 0.4013  4 Li 2.43-2.68
3 Li 0.2994 0.8236 0.5987  4 Li 2.43-2.68
4 Li 0.5000 0.5000 0.0000  8 Li 2.68-2.81, 4 Si 2.98
5 Li 0.5000 0.0000 0.0000  8 Li 2.68-2.81, 4 Si 2.98
6 Li 0.9126 0.6626 0.8251  3 Si 2.69-2.71, 4 Li 2.81
7 Li 0.7006 0.7249 0.4013  4 Li 2.43-2.68
8 Li 0.2994 0.2751 0.5987  4 Li 2.43-2.68
9 Si 0.1145 0.8645 0.2291  13 Li 2.69-2.98
10 Si 0.8855 0.1355 0.7709  13 Li 2.69-2.98

***

ii) comes first in stability; the runner-up is 4.3 kJ/mol of atoms higher.

***

i) Density functional theory data (GGA-PBE) for a geometry-optimized Li4Si structure.

Cell lengths 4.8339, 4.8339, 4.8339 Å; angles 123.23, 123.23, 84.49 degrees
With the nearest neighbours (Å) after each atom.
Positions (direct):
1 Si 0.0000 0.0000 0.0000  2 Li 2.49
2 Li 0.7500 0.2500 0.5000  4 Li 2.40
3 Li 0.2500 0.7500 0.5000  4 Li 2.40
4 Li 0.3481 0.3481 0.0000  5 Li 2.17-2.40
5 Li 0.6519 0.6519 0.0000  5 Li 2.17-2.40

***

ii) Density functional theory data (GGA-PBE) for a geometry-optimized Li4Si structure.

Cell lengths 4.8445, 4.8445, 4.8445 Å; angles 90.00, 90.00, 90.00 degrees
With the nearest neighbours (Å) after each atom.
Positions (direct):
1 Si 0.5000 0.5000 0.5000  6 Li 2.42
2 Li 0.0000 0.0000 0.0000  12 Li 3.43
3 Li 0.5000 0.0000 0.5000  2 Si 2.42
4 Li 0.0000 0.5000 0.5000  2 Si 2.42
5 Li 0.5000 0.5000 0.0000  2 Si 2.42

***

i) comes first in stability; the runner-up is 1.7 kJ/mol of atoms higher.

***

i) Density functional theory data (GGA-PBE) for a geometry-optimized Li2Si2Sn structure.

Cell lengths 4.0389, 4.0389, 6.3832 Å; angles 71.56, 71.56, 90.00 degrees
With the nearest neighbours (Å) after each atom.
Positions (direct):
1 Si 0.4005 0.4005 0.1991  1 Si 2.27
2 Si 0.5995 0.5995 0.8009  1 Si 2.27
3 Li 0.2500 0.7500 0.5000  4 Si 2.65, 4 Li 2.86
4 Li 0.7500 0.2500 0.5000  4 Si 2.65, 4 Li 2.86
5 Sn 0.0000 0.0000 0.0000  8 Si 3.07

***

ii) Density functional theory data (GGA-PBE) for a geometry-optimized Li2Si2Sn structure.

Cell lengths 7.5558, 7.5558, 3.0371 Å; angles 90.00, 90.00, 90.00 degrees
With the nearest neighbours (Å) after each atom.
Positions (direct):
1 Li 0.8144 0.3144 0.5000  6 Si 2.66-2.76
2 Li 0.1856 0.6856 0.5000  6 Si 2.66-2.76
3 Li 0.3144 0.1856 0.5000  6 Si 2.66-2.76
4 Li 0.6856 0.8144 0.5000  6 Si 2.66-2.76
5 Si 0.3898 0.8898 0.0000  1 Si 2.35
6 Si 0.6102 0.1102 0.0000  1 Si 2.35
7 Si 0.1102 0.3898 0.0000  1 Si 2.35
8 Si 0.8898 0.6102 0.0000  1 Si 2.35
9 Sn 0.0000 0.0000 0.0000  2 Sn 3.04, 4 Si 3.06, 8 Li 3.15
10 Sn 0.5000 0.5000 0.0000  2 Sn 3.04, 4 Si 3.06, 8 Li 3.15

***

ii) comes first in stability; the runner-up is 6.3 kJ/mol of atoms higher.

***

i) Density functional theory data (GGA-PBE) for a geometry-optimized SrLi2Si2 structure.

Cell lengths 4.3572, 4.3572, 6.3898 Å; angles 70.07, 70.07, 90.00 degrees
With the nearest neighbours (Å) after each atom.
Positions (direct):
1 Li 0.7500 0.2500 0.5000  4 Si 2.73
2 Li 0.2500 0.7500 0.5000  4 Si 2.73
3 Si 0.6027 0.6027 0.7946  1 Si 2.30
4 Si 0.3973 0.3973 0.2054  1 Si 2.30
5 Sr 0.0000 0.0000 0.0000  8 Si 3.29, 8 Li 3.55

***

ii) Density functional theory data (GGA-PBE) for a geometry-optimized SrLi2Si2 structure.

Cell lengths 7.8169, 7.8169, 3.5512 Å; angles 90.00, 90.00, 90.00 degrees
With the nearest neighbours (Å) after each atom.
Positions (direct):
1 Si 0.3922 0.8922 0.0000  1 Si 2.38
2 Si 0.8922 0.6078 0.0000  1 Si 2.38
3 Si 0.1078 0.3922 0.0000  1 Si 2.38
4 Si 0.6078 0.1078 0.0000  1 Si 2.38
5 Sr 0.0000 0.0000 0.0000  4 Si 3.18, 8 Li 3.42, 2 Sr 3.55
6 Sr 0.5000 0.5000 0.0000  4 Si 3.18, 8 Li 3.42, 2 Sr 3.55
7 Li 0.3349 0.1651 0.5000  6 Si 2.81-3.07
8 Li 0.8349 0.3349 0.5000  6 Si 2.81-3.07
9 Li 0.6651 0.8349 0.5000  6 Si 2.81-3.07
10 Li 0.1651 0.6651 0.5000  6 Si 2.81-3.07

***

iii) Density functional theory data (GGA-PBE) for a geometry-optimized SrLi2Si2 structure.

Cell lengths 8.0328, 8.0328, 2.9174 Å; angles 90.00, 90.00, 90.00 degrees
With the nearest neighbours (Å) after each atom.
Positions (direct):
1 Si 0.6735 0.8265 0.5000  6 Li 2.79, 2 Si 2.92
2 Si 0.3265 0.1735 0.5000  6 Li 2.79, 2 Si 2.92
3 Si 0.1735 0.6735 0.5000  6 Li 2.79, 2 Si 2.92
4 Si 0.8265 0.3265 0.5000  6 Li 2.79, 2 Si 2.92
5 Li 0.1171 0.3829 0.0000  3 Li 2.66-2.92, 6 Si 2.79
6 Li 0.6171 0.1171 0.0000  3 Li 2.66-2.92, 6 Si 2.79
7 Li 0.8829 0.6171 0.0000  3 Li 2.66-2.92, 6 Si 2.79
8 Li 0.3829 0.8829 0.0000  3 Li 2.66-2.92, 6 Si 2.79
9 Sr 0.5000 0.5000 0.0000  2 Sr 2.92, 4 Li 3.22
10 Sr 0.0000 0.0000 0.0000  2 Sr 2.92, 4 Li 3.22

***

i) comes first in stability; the runner-up is 18.6 kJ/mol of atoms higher.